No. 1
This record from the Alexandria database describes crystalline K2PuGaTe4 at its relaxed geometry. The functional is PBE-GGA.

a b c (Å): 8.5808 8.5808 7.6380
angles (deg): 90.00 90.00 90.00
With the nearest neighbours (Å) after each atom.
Space group I-42m (No. 121)
Unique sites:
K1 0.0000 0.5000 0.0000 [4 per cell]  8 Te 3.55-3.85, 2 K 3.82
Pu1 0.0000 0.0000 0.0000 [2 per cell]  4 Te 3.08
Ga1 0.0000 0.0000 0.5000 [2 per cell]  4 Te 2.69
Te1 0.1772 0.1772 0.2879 [8 per cell]  1 Ga 2.69



No. 2
This record from the Alexandria database describes crystalline K2RbGa2 at its relaxed geometry. The functional is PBE-GGA.

Computed properties:
ΔE_f: 0.095 eV per atom

a b c (Å): 9.4958 9.4958 4.8475
angles (deg): 90.00 90.00 90.00
With the nearest neighbours (Å) after each atom.
Space group P4/mbm (No. 127)
Unique sites:
K1 0.1813 0.3187 0.0000 [4 per cell]  6 Ga 3.65-3.88
Rb1 0.0000 0.0000 0.5000 [2 per cell]  4 Ga 3.97, 8 K 4.24
Ga1 0.0928 0.5928 0.5000 [4 per cell]  1 Ga 2.49



| no. | N(E_F) (states/eV per atom) | calculated total energy (eV/f.u.) |
| --- | --- | --- |
| 1 | 2.06 | -38.364 |
| 2 | 0.62 | -8.741 |